Record 1
Ta2VCu2: relaxed, PBE.

Output
Calculated formation energy ... 273 meV per atom
Uncorrected energy ... -7.931 eV/atom
Total magnetization ... 4.6 μB/cell
SG ... P4/mbm, No. 127

Unit cell a=6.7174 b=6.7174 c=3.3982 alpha=90.00 beta=90.00 gamma=90.00
Fractional coordinates of all 10 atoms:
Ta  0.1766  0.3234  0.0000
Ta  0.3234  0.8234  0.0000
Ta  0.6766  0.1766  0.0000
Ta  0.8234  0.6766  0.0000
V  0.0000  0.0000  0.5000
V  0.5000  0.5000  0.5000
Cu  0.1247  0.6247  0.5000
Cu  0.3753  0.1247  0.5000
Cu  0.6247  0.8753  0.5000
Cu  0.8753  0.3753  0.5000


Record 2
Ta2V2Cu: relaxed, PBE.

Output
Calculated formation energy ... 298 meV per atom
Uncorrected energy ... -8.910 eV/atom
Total magnetization ... 0.0 μB/cell
SG ... P4/mbm, No. 127

Unit cell a=6.5938 b=6.5938 c=3.6192 alpha=90.00 beta=90.00 gamma=90.00
Fractional coordinates of all 10 atoms:
Ta  0.1743  0.3257  0.0000
Ta  0.3257  0.8257  0.0000
Ta  0.6743  0.1743  0.0000
Ta  0.8257  0.6743  0.0000
V  0.1264  0.6264  0.5000
V  0.3736  0.1264  0.5000
V  0.6264  0.8736  0.5000
V  0.8736  0.3736  0.5000
Cu  0.0000  0.0000  0.5000
Cu  0.5000  0.5000  0.5000


Record 3
TaV2Cu2: relaxed, PBE.

Output
Calculated formation energy ... 300 meV per atom
Uncorrected energy ... -7.356 eV/atom
Total magnetization ... 0.0 μB/cell
Energy relative to the lowest polymorph listed for this composition ... 0.27 eV per formula unit
SG ... P4/mbm, No. 127

Unit cell a=7.2961 b=7.2961 c=2.6396 alpha=90.00 beta=90.00 gamma=90.00
Fractional coordinates of all 10 atoms:
Ta  0.0000  0.0000  0.0000
Ta  0.5000  0.5000  0.0000
V  0.1142  0.3858  0.0000
V  0.3858  0.8858  0.0000
V  0.6142  0.1142  0.0000
V  0.8858  0.6142  0.0000
Cu  0.1814  0.6814  0.5000
Cu  0.3186  0.1814  0.5000
Cu  0.6814  0.8186  0.5000
Cu  0.8186  0.3186  0.5000